# BaHgWO4

A geometry-optimized BaHgWO4 structure (GGA+U, the Alexandria database).

Summary:
- crystal system = monoclinic
- E (eV per atom) = -6.230

a = 12.6415 Å, b = 7.5528 Å, c = 7.7326 Å
α = 90.00°, β = 103.05°, γ = 90.00°
Closest atoms and distances in Å follow each position.
Space group C2/m (No. 12)
Symmetry-distinct sites (fractional):
Ba: 0.2167 0.0000 0.3295 x4  4 O 2.61-2.67
Hg: 0.0261 0.5000 0.2276 x4  1 Hg 3.43, 4 O 3.79-3.80
W: 0.1398 0.0000 0.7590 x4  4 O 1.81-1.83
O: 0.0048 0.0000 0.2543 x4  1 W 1.81
O: 0.1787 0.1901 0.6404 x8  1 W 1.83
O: 0.2132 0.0000 0.9883 x4  1 W 1.81